This record from Alexandria via LeMat-Bulk describes Dy2FeNi after structural relaxation. The functional is PBE.

a b c (Å): 3.3546 3.3546 6.6542
angles (deg): 90.00 90.00 90.00
Closest atoms and distances in Å follow each position.
Space group P4/mmm (No. 123)
Asymmetric unit:
Dy  0.0000  0.0000  0.2445 [2 per cell]  4 Fe 2.88, 4 Ni 2.92
Fe  0.5000  0.5000  0.0000 [1 per cell]  8 Dy 2.88
Ni  0.5000  0.5000  0.5000 [1 per cell]  8 Dy 2.92

Calculated values
total moment	0.00	μB per formula unit
E above lowest polymorph	0	meV per atom
energy of formation	-0.110	eV/atom

=====

This record from Alexandria via LeMat-Bulk describes MgCuGe after structural relaxation. The functional is PBE.

a b c (Å): 4.2031 4.2031 3.2475
angles (deg): 90.00 90.00 120.00
Closest atoms and distances in Å follow each position.
Space group P3m1 (No. 156)
Asymmetric unit:
Mg  0.0000  0.0000  0.0000 [1 per cell]  6 Cu 2.92, 6 Ge 2.92, 2 Mg 3.25
Cu  0.6667  0.3333  0.4976 [1 per cell]  3 Ge 2.43
Ge  0.3333  0.6667  0.5004 [1 per cell]  3 Cu 2.43

Calculated values
total moment	0.00	μB per formula unit
energy of formation	-0.136	eV/atom

=====

This record from Alexandria via LeMat-Bulk describes ZnSi2AgS after structural relaxation. The functional is PBE.

a b c (Å): 4.5867 4.5867 4.9246
angles (deg): 90.00 90.00 90.00
Closest atoms and distances in Å follow each position.
Space group P4/mmm (No. 123)
Asymmetric unit:
Zn  0.0000  0.0000  0.0000 [1 per cell]  4 Si 2.29, 2 Ag 2.46
Si  0.0000  0.5000  0.0000 [2 per cell]  2 Zn 2.29
Ag  0.0000  0.0000  0.5000 [1 per cell]  2 Zn 2.46
S  0.5000  0.5000  0.5000 [1 per cell]  4 Ag 3.24, 8 Si 3.36

Calculated values
total moment	0.00	μB per formula unit
formation energy (no corrections)	879	meV/atom

=====

This record from Alexandria via LeMat-Bulk describes Mn2MoCl after structural relaxation. The functional is PBE.

a b c (Å): 3.0879 3.0879 23.3193
angles (deg): 90.00 90.00 120.00
Closest atoms and distances in Å follow each position.
Space group R3m (No. 160, hexagonal axes)
Asymmetric unit:
Mn  0.0000  0.0000  0.0000 [3 per cell]  3 Mo 2.32
Mn  0.0000  0.0000  0.2480 [3 per cell]  3 Cl 2.56, 3 Mn 2.67
Mo  0.0000  0.0000  0.7304 [3 per cell]  3 Mn 2.32
Cl  0.0000  0.0000  0.5028 [3 per cell]  3 Mn 2.56

Calculated values
total moment	4.40	μB per formula unit
E above lowest polymorph	150	meV per atom
formation energy (no corrections)	293	meV/atom

=====

This record from Alexandria via LeMat-Bulk describes GaReHg2H after structural relaxation. The functional is PBE.

a b c (Å): 5.2662 5.2662 3.0418
angles (deg): 90.00 90.00 90.00
Closest atoms and distances in Å follow each position.
Space group P4/mmm (No. 123)
Asymmetric unit:
Ga  0.0000  0.0000  0.0000 [1 per cell]  2 H 1.52
Re  0.5000  0.5000  0.5000 [1 per cell]  8 Hg 3.04, 2 Re 3.04
Hg  0.0000  0.5000  0.0000 [2 per cell]  2 Ga 2.63
H  0.0000  0.0000  0.5000 [1 per cell]  2 Ga 1.52

Calculated values
total moment	0.00	μB per formula unit
uncorrected energy	-2.96	eV/atom

=====

This record from Alexandria via LeMat-Bulk describes CePmTe after structural relaxation. The functional is PBE.

a b c (Å): 3.9909 3.9909 11.6474
angles (deg): 90.00 90.00 90.00
Closest atoms and distances in Å follow each position.
Space group I4mm (No. 107)
Asymmetric unit:
Ce  0.0000  0.0000  0.0000 [2 per cell]  4 Te 3.34, 5 Pm 3.49-3.66
Pm  0.0000  0.0000  0.2993 [2 per cell]  4 Te 3.29, 5 Ce 3.49-3.66
Te  0.0000  0.0000  0.6541 [2 per cell]  4 Pm 3.29, 4 Ce 3.34

Calculated values
total moment	1.24	μB per formula unit
E above lowest polymorph	280	meV per atom
formation energy (no corrections)	-682	meV/atom

=====

This record from Alexandria via LeMat-Bulk describes SrGeBrO2 after structural relaxation. The functional is PBE.

a b c (Å): 5.6396 13.1714 5.4053
angles (deg): 90.00 90.00 90.00
Closest atoms and distances in Å follow each position.
Space group Cmcm (No. 63)
Asymmetric unit:
Sr  0.0000  0.1171  0.2500 [4 per cell]  4 O 2.60
Ge  0.0000  0.4528  0.2500 [4 per cell]  4 O 1.93
Br  0.0000  0.2516  0.7500 [4 per cell]  4 Sr 3.23-3.31
O  0.2177  0.5000  0.0000 [8 per cell]  2 Ge 1.93

Calculated values
total moment	0.00	μB per formula unit
formation energy (no corrections)	-1889	meV/atom

=====

This record from Alexandria via LeMat-Bulk describes K2RbH6Ru after structural relaxation. The functional is PBE.

a b c (Å): 6.0931 6.0931 14.9025
angles (deg): 90.00 90.00 120.00
Closest atoms and distances in Å follow each position.
Space group R-3m (No. 166, hexagonal axes)
Asymmetric unit:
K  0.0000  0.0000  0.2502 [6 per cell]  12 H 3.07-3.08
Rb  0.0000  0.0000  0.0000 [3 per cell]  6 H 2.59
H  0.0675  0.5337  0.2332 [18 per cell]  1 Ru 1.72
Ru  0.0000  0.0000  0.5000 [3 per cell]  6 H 1.72

Calculated values
total moment	1.00	μB per formula unit
uncorrected energy	-3.39	eV/atom

=====

This record from Alexandria via LeMat-Bulk describes Tb3Ho6Pu after structural relaxation. The functional is PBE.

a b c (Å): 9.7330 9.7330 11.5296
angles (deg): 90.00 90.00 120.00
Closest atoms and distances in Å follow each position.
Space group R3 (No. 146, hexagonal axes)
Asymmetric unit:
Tb  0.0000  0.0000  0.0000 [3 per cell]  2 Tb 2.93-2.98, 3 Ho 3.24
Tb  0.0000  0.0000  0.2541 [3 per cell]  1 Pu 2.83, 1 Tb 2.93
Tb  0.0000  0.0000  0.7418 [3 per cell]  1 Pu 2.79, 1 Tb 2.98
Ho  0.0025  0.3253  0.5102 [9 per cell]  1 Pu 3.16, 2 Tb 3.43-3.48
Ho  0.0038  0.6691  0.0123 [9 per cell]  3 Tb 3.24-3.39
Pu  0.0000  0.0000  0.4997 [3 per cell]  2 Tb 2.79-2.83

Calculated values
total moment	8.17	μB per formula unit
E above lowest polymorph	148	meV per atom
energy of formation	0.256	eV/atom

=====

This record from Alexandria via LeMat-Bulk describes CuSe3I3 after structural relaxation. The functional is PBE.

a b c (Å): 7.1287 9.2808 10.0312
angles (deg): 93.99 110.51 106.56
Closest atoms and distances in Å follow each position.
Space group P-1 (No. 2)
Asymmetric unit:
Cu  0.0875  0.1053  0.3567 [2 per cell]  2 Se 2.40-2.42, 2 I 2.54
Se  0.1808  0.9581  0.5439 [2 per cell]  2 Cu 2.40-2.42, 1 Se 2.50
Se  0.2598  0.3648  0.7388 [2 per cell]  1 Se 2.29
Se  0.4289  0.1892  0.7328 [2 per cell]  2 Se 2.29-2.50
I  0.0892  0.7354  0.8085 [2 per cell]  1 Cu 2.54
I  0.1039  0.3089  0.9393 [2 per cell]  1 Se 2.63
I  0.4115  0.1384  0.2944 [2 per cell]  1 Cu 2.54

Calculated values
total moment	0.00	μB per formula unit
formation energy (no corrections)	-7	meV/atom

=====

This record from Alexandria via LeMat-Bulk describes Er4Tm2Sc3 after structural relaxation. The functional is PBE.

a b c (Å): 16.5508 9.5886 6.4836
angles (deg): 90.00 92.83 90.00
Closest atoms and distances in Å follow each position.
Space group C2/c (No. 15)
Asymmetric unit:
Er  0.0222  0.1729  0.0086 [8 per cell]  3 Sc 3.15-3.48, 4 Er 3.25-3.44, 2 Tm 3.26-3.52
Er  0.1884  0.3750  0.9164 [8 per cell]  4 Sc 3.23-3.43, 3 Tm 3.27-3.42, 2 Er 3.30-3.44
Tm  0.1587  0.2875  0.4067 [8 per cell]  3 Sc 3.23-3.50, 5 Er 3.26-3.52, 1 Tm 3.28
Sc  0.0000  0.4901  0.7500 [4 per cell]  2 Sc 3.25, 6 Er 3.43-3.62, 2 Tm 3.50
Sc  0.1567  0.0399  0.7438 [8 per cell]  5 Er 3.15-3.43, 2 Tm 3.23-3.31, 2 Sc 3.33

Calculated values
total moment	0.00	μB per formula unit
E above lowest polymorph	0	meV per atom
energy of formation	0.075	eV/atom

=====

This record from Alexandria via LeMat-Bulk describes CrFe2Pb after structural relaxation. The functional is PBE.

a b c (Å): 3.8987 3.8987 7.5657
angles (deg): 90.00 90.00 90.00
Closest atoms and distances in Å follow each position.
Space group I4/mmm (No. 139)
Asymmetric unit:
Cr  0.0000  0.0000  0.0000 [2 per cell]  8 Fe 2.72, 4 Pb 2.76
Fe  0.0000  0.5000  0.2500 [4 per cell]  4 Cr 2.72, 4 Pb 2.72, 4 Fe 2.76
Pb  0.0000  0.0000  0.5000 [2 per cell]  8 Fe 2.72, 4 Cr 2.76

Calculated values
total moment	4.54	μB per formula unit
energy of formation	0.615	eV/atom